Entry from Alexandria via LeMat-Bulk: a PBEsol-optimized structure of SrRe2 (SCAN).

Values from the calculation:
As for the total energy: -162.767 eV per formula unit. The formation energy is 0.568 eV/atom.

```
SrRe2
1.0
-1.575 1.575 6.207
1.575 -1.575 6.207
1.575 1.575 -6.207
Sr Re
1 2
direct
0.000 0.000 0.000
0.298 0.298 0.000
0.702 0.702 0.000
```